Material: TlB
Method: DFT, PBE
State: relaxed

Lattice parameters (Å, degrees): 11.238 11.238 3.172 90.00 90.00 90.00
Atoms (fractional coordinates):
Tl: 0.206 0.500 0.000
Tl: 0.294 0.000 0.500
B: 0.249 0.751 0.500
Tl: 0.000 0.294 0.500
B: 0.251 0.251 0.000
B: 0.749 0.749 0.000
Tl: 0.706 0.000 0.500
B: 0.249 0.249 0.500
Tl: 0.500 0.794 0.000
B: 0.749 0.251 0.000
Tl: 0.794 0.500 0.000
Tl: 0.500 0.206 0.000
B: 0.751 0.751 0.500
B: 0.251 0.749 0.000
Tl: 0.000 0.706 0.500
B: 0.751 0.249 0.500

Space group: I4/mmm, No. 139
Polymorph energy (0 for the lowest one): 59 meV per atom
DFT formation energy: 0.5466 eV per atom
Total magnetic moment: 0.000 μB/cell
D(E_F): 0.411 states/eV/atom

---

Material: Ac4Rh2Au
Method: DFT, PBE
State: relaxed

Lattice parameters (Å, degrees): 4.319 7.478 14.708 90.00 90.00 106.78
Atoms (fractional coordinates):
Au: 0.614 0.229 0.750
Ac: 0.500 0.000 0.500
Rh: 0.132 0.264 0.065
Ac: 0.500 0.000 0.000
Ac: 0.230 0.459 0.886
Ac: 0.770 0.541 0.114
Ac: 0.230 0.459 0.614
Rh: 0.868 0.736 0.565
Rh: 0.132 0.264 0.435
Ac: 0.770 0.541 0.386
Ac: 0.052 0.103 0.250
Rh: 0.868 0.736 0.935
Ac: 0.948 0.897 0.750
Au: 0.386 0.771 0.250

Space group: Cmcm, No. 63
Polymorph energy (0 for the lowest one): 0 meV per atom
DFT formation energy: -0.6951 eV per atom
Total magnetic moment: 0.000 μB/cell
D(E_F): 0.673 states/eV/atom

---

Material: Sm3DyIn
Method: DFT, PBE
State: relaxed

Lattice parameters (Å, degrees): 7.843 7.843 7.843 88.63 114.32 127.74
Atoms (fractional coordinates):
Sm: 0.574 0.345 0.267
Sm: 0.574 0.806 0.729
Sm: 0.102 0.283 0.319
In: 0.583 0.768 0.315
Dy: 0.953 0.456 0.997
Sm: 0.078 0.845 0.271
Sm: 0.078 0.306 0.733
In: 0.452 0.268 0.685
Sm: 0.964 0.783 0.681
Dy: 0.459 0.956 0.003

Space group: Ima2, No. 46
Polymorph energy (0 for the lowest one): 356 meV per atom
DFT formation energy: 0.1660 eV per atom
Total magnetic moment: 0.000 μB/cell
D(E_F): 1.110 states/eV/atom

---

Material: Pu3MnN5
Method: DFT, PBE
State: relaxed

Lattice parameters (Å, degrees): 6.472 6.472 7.095 117.13 117.13 90.00
Last column: magnetic moment on the atom in μB.
Atoms (fractional coordinates):
Pu: 0.672 0.172 0.000  4.58
N: 0.707 0.207 0.712  -0.14
Pu: 0.172 0.328 0.000  4.58
N: 0.994 0.494 0.288  -0.14
N: 0.506 0.707 0.712  -0.14
N: 0.500 0.500 0.000  -0.27
N: 0.006 0.506 0.712  -0.14
Pu: 0.828 0.672 0.000  4.58
N: 0.000 0.000 0.000  -0.27
Mn: 0.250 0.750 0.500  1.62
Pu: 0.328 0.828 0.000  4.58
N: 0.793 0.994 0.288  -0.14
Pu: 0.750 0.750 0.500  5.04
Pu: 0.250 0.250 0.500  5.04
N: 0.207 0.006 0.712  -0.14
N: 0.494 0.293 0.288  -0.14
N: 0.293 0.793 0.288  -0.14
Mn: 0.750 0.250 0.500  1.62

Space group: I4/mcm, No. 140
Formation energy without anion corrections: -8.9 eV/f.u.
Total magnetic moment: 30.733 μB/cell
D(E_F): 1.564 states/eV/atom

---

Material: EuCdSe2
Method: DFT, PBE
State: relaxed

Lattice parameters (Å, degrees): 4.665 4.665 8.350 73.78 73.78 60.00
Last column: magnetic moment on the atom in μB.
Atoms (fractional coordinates):
Se: 0.896 0.896 0.313  -0.02
Se: 0.104 0.104 0.687  -0.02
Eu: 0.500 0.500 0.500  6.81
Cd: 0.000 0.000 0.000  0.01

Space group: R-3m, No. 166
Formation energy without anion corrections: -4.4 eV/f.u.
Total magnetic moment: 6.963 μB/cell
D(E_F): 3.215 states/eV/atom

---

Material: BeAgOs2
Method: DFT, PBE
State: relaxed

Lattice parameters (Å, degrees): 3.792 3.792 9.358 78.31 78.31 90.00
Atoms (fractional coordinates):
Os: 0.554 0.125 0.250
Ag: 0.750 0.250 0.500
Os: 0.375 0.446 0.750
Os: 0.875 0.804 0.750
Ag: 0.000 0.000 0.000
Os: 0.196 0.625 0.250
Be: 0.250 0.750 0.500
Be: 0.500 0.500 0.000

Space group: I-42d, No. 122
DFT formation energy: 0.8827 eV per atom
Total magnetic moment: 0.000 μB/cell
D(E_F): 0.618 states/eV/atom

---

Material: CaZnH8Rh2
Method: DFT, PBE
State: relaxed

Lattice parameters (Å, degrees): 4.765 4.765 6.178 67.32 67.32 60.00
Atoms (fractional coordinates):
H: 0.596 0.354 0.151
H: 0.899 0.596 0.151
Rh: 0.701 0.701 0.896
Rh: 0.299 0.299 0.104
Ca: 0.500 0.500 0.500
H: 0.803 0.803 0.592
H: 0.197 0.197 0.408
H: 0.354 0.899 0.151
H: 0.101 0.404 0.849
Zn: 0.000 0.000 0.000
H: 0.404 0.646 0.849
H: 0.646 0.101 0.849

Space group: R-3, No. 148
Final energy: -3.889 eV per atom
Total magnetic moment: 0.000 μB/cell
D(E_F): 0.027 states/eV/atom

---

Material: K2TmHfS4
Method: DFT, PBE
State: relaxed

Lattice parameters (Å, degrees): 3.842 6.704 7.703 106.63 90.00 90.00
Atoms (fractional coordinates):
K: 0.500 0.000 0.500
S: 0.500 0.245 0.201
S: 0.500 0.755 0.799
Tm: 0.000 0.000 0.000
K: 0.000 0.500 0.500
S: 0.000 0.721 0.197
S: 0.000 0.279 0.803
Hf: 0.500 0.500 0.000

Space group: P2/m, No. 10
Formation energy without anion corrections: -13.2 eV/f.u.
Total magnetic moment: 0.000 μB/cell
D(E_F): 0.339 states/eV/atom